LiZr2Ru | meta-GGA SCAN | PBEsol geometry

Cell lengths 2.944, 2.944, 9.414 Å; angles 90.00, 90.00, 113.41 degrees
Sites, in units of the cell vectors:
Li 0.000 0.000 0.463
Zr 0.000 0.000 0.039
Zr 0.500 0.500 0.753
Ru 0.500 0.500 0.244

Values from the calculation:
Energy of formation, kJ/mol of formula units: 37
SG: Cmm2

***

Li2S | meta-GGA SCAN | PBEsol geometry

Cell lengths 3.997, 3.997, 3.997 Å; angles 60.00, 60.00, 60.00 degrees
Sites, in units of the cell vectors:
Li 0.250 0.250 0.250
Li 0.750 0.750 0.750
S 0.000 0.000 0.000

Values from the calculation:
SG: Fm-3m
Formation energy without anion corrections, kJ/mol of formula units: -439

***

Li2S | meta-GGA SCAN | PBEsol geometry

Cell lengths 3.766, 6.223, 7.173 Å; angles 90.00, 90.00, 90.00 degrees
Sites, in units of the cell vectors:
Li 0.250 0.358 0.571
Li 0.250 0.858 0.929
Li 0.750 0.523 0.832
Li 0.750 0.023 0.668
Li 0.750 0.142 0.071
Li 0.750 0.642 0.429
Li 0.250 0.977 0.332
Li 0.250 0.477 0.168
S 0.750 0.255 0.389
S 0.250 0.245 0.889
S 0.250 0.745 0.611
S 0.750 0.755 0.111

Values from the calculation:
SG: Pnma
Formation energy without anion corrections, kJ/mol of formula units: -421

***

> Number 2 is which compound?

Li2S

***

Please write out number 2 again, unchanged.
Li2S | meta-GGA SCAN | PBEsol geometry

Cell lengths 3.997, 3.997, 3.997 Å; angles 60.00, 60.00, 60.00 degrees
Sites, in units of the cell vectors:
Li 0.250 0.250 0.250
Li 0.750 0.750 0.750
S 0.000 0.000 0.000

Values from the calculation:
SG: Fm-3m
Formation energy without anion corrections, kJ/mol of formula units: -439